meta-GGA SCAN Sm4Si2Se3O7, single point on PBEsol structure; E = -21.96 eV per atom; formation energy from raw total energies = -3.106 eV per atom; symmetry = I4_1/amd (141)
1.0
-0.253 11.004 -0.113
-9.609 -4.739 2.525
6.395 -4.316 7.852
Se O Sm Si
12 28 16 8
Direct
0.605 0.230 0.125
0.000 0.500 0.500
0.500 0.750 0.250
0.000 0.000 0.000
0.605 0.375 0.480
0.105 0.875 0.480
0.105 0.230 0.625
0.395 0.875 0.770
0.895 0.375 0.770
0.500 0.250 0.750
0.895 0.520 0.125
0.395 0.520 0.625
0.270 0.226 0.956
0.020 0.713 0.976
0.730 0.685 0.956
0.770 0.706 0.476
0.737 0.024 0.044
0.230 0.524 0.294
0.500 0.482 0.982
0.763 0.726 0.206
0.520 0.794 0.557
0.480 0.037 0.274
0.237 0.443 0.963
0.237 0.794 0.274
0.500 0.018 0.518
0.770 0.065 0.294
0.230 0.706 0.935
0.980 0.024 0.287
0.737 0.713 0.693
0.000 0.268 0.268
0.980 0.956 0.693
0.263 0.956 0.976
0.263 0.307 0.287
0.270 0.044 0.315
0.730 0.044 0.774
0.520 0.726 0.963
0.000 0.732 0.732
0.763 0.037 0.557
0.020 0.307 0.044
0.480 0.443 0.206
0.240 0.698 0.459
0.500 0.577 0.423
0.000 0.173 0.827
0.260 0.209 0.469
0.000 0.827 0.173
0.760 0.541 0.302
0.260 0.052 0.791
0.654 0.827 0.827
0.740 0.209 0.948
0.500 0.923 0.077
0.346 0.173 0.173
0.240 0.541 0.781
0.760 0.219 0.459
0.154 0.577 0.077
0.740 0.531 0.791
0.846 0.923 0.423
0.875 0.782 0.657
0.625 0.657 0.032
0.375 0.407 0.032
0.625 0.968 0.593
0.875 0.093 0.218
0.125 0.343 0.218
0.125 0.782 0.907
0.375 0.968 0.343

***

meta-GGA SCAN Tb2SiSeO4, single point on PBEsol structure; E = -21.88 eV per atom; formation energy from raw total energies = -3.317 eV per atom; symmetry = Pbcm (57)
1.0
5.996 0.000 0.000
0.000 6.923 0.000
0.000 0.000 10.719
Tb O Si Se
8 16 4 4
Direct
0.607 0.250 0.000
0.607 0.250 0.500
0.131 0.029 0.250
0.869 0.971 0.750
0.393 0.750 0.000
0.131 0.471 0.750
0.393 0.750 0.500
0.869 0.529 0.250
0.276 0.432 0.533
0.057 0.740 0.879
0.276 0.068 0.033
0.724 0.932 0.967
0.943 0.240 0.879
0.057 0.740 0.621
0.057 0.760 0.121
0.943 0.260 0.121
0.057 0.760 0.379
0.724 0.568 0.467
0.724 0.932 0.533
0.276 0.432 0.967
0.943 0.260 0.379
0.943 0.240 0.621
0.724 0.568 0.033
0.276 0.068 0.467
0.112 0.250 0.000
0.888 0.750 0.500
0.888 0.750 0.000
0.112 0.250 0.500
0.580 0.620 0.750
0.420 0.380 0.250
0.420 0.120 0.750
0.580 0.880 0.250

***

meta-GGA SCAN Sm2SeO2, single point on PBEsol structure; E = -27.66 eV per atom; formation energy from raw total energies = -3.378 eV per atom; symmetry = P-3m1 (164)
1.0
-0.570 -2.051 3.270
-1.659 -1.150 -3.339
5.544 -3.828 -1.436
Se O Sm
1 2 2
Direct
0.000 0.000 0.000
0.333 0.667 0.626
0.667 0.333 0.374
0.333 0.667 0.289
0.667 0.333 0.711